This record from the Alexandria database describes KMg2Zr after structural relaxation. The functional is PBE.

ΔE to the lowest computed polymorph = 627 meV/atom
space-group type = I-42d
uncorrected energy = -2.3625 eV per atom
energy of formation = 82 kJ/mol of atoms

Lattice parameters (Å, degrees): 8.564 8.564 6.948 51.96 51.96 90.00
Atoms (fractional coordinates):
Mg (0.375, 0.351, 0.750)
Mg (0.101, 0.625, 0.250)
Mg (0.875, 0.899, 0.750)
Mg (0.649, 0.125, 0.250)
K (0.250, 0.750, 0.500)
K (0.500, 0.500, 0.000)
Zr (0.750, 0.250, 0.500)
Zr (0.000, 0.000, 0.000)